(1)
The following is a PBE calculation of a relaxed InGaHg4 crystal, from Alexandria.

Cell and atoms, written as POSCAR:
```
InGaHg4
1.0
6.196 0.000 0.000
0.000 6.656 0.000
-0.617 0.000 7.514
In Ga Hg
2 2 8
direct
0.037 0.250 0.019 In
0.963 0.750 0.981 In
0.268 0.750 0.362 Ga
0.732 0.250 0.638 Ga
0.170 0.004 0.675 Hg
0.170 0.496 0.675 Hg
0.364 0.250 0.357 Hg
0.470 0.750 0.032 Hg
0.530 0.250 0.968 Hg
0.636 0.750 0.643 Hg
0.830 0.504 0.325 Hg
0.830 0.996 0.325 Hg
```

Properties
Energy above the most stable polymorph in this dataset: 0.000 eV/atom
Calculated volume: 309.92 Å³ per cell
E_tot: -6.72 eV per formula unit
Formation enthalpy at 0 K: 0.043 eV/atom

(2)
The following is a PBE calculation of a relaxed CePm5Ge4 crystal, from Alexandria.

Cell and atoms, written as POSCAR:
```
CePm5Ge4
1.0
7.812 -2.560 0.000
7.812 2.560 0.000
-0.082 0.000 7.028
Ce Pm Ge
1 5 4
direct
0.000 0.000 0.000 Ce
0.000 0.000 0.500 Pm
0.335 0.335 0.997 Pm
0.336 0.336 0.513 Pm
0.664 0.664 0.487 Pm
0.665 0.665 0.003 Pm
0.178 0.178 0.250 Ge
0.491 0.491 0.251 Ge
0.509 0.509 0.749 Ge
0.822 0.822 0.750 Ge
```

Properties
Calculated volume: 281.03 Å³ per cell
E_tot: -54.21 eV per formula unit
Formation enthalpy at 0 K: -0.605 eV/atom

(3)
The following is a PBE calculation of a relaxed Ba3GeSb crystal, from Alexandria.

Cell and atoms, written as POSCAR:
```
Ba3GeSb
1.0
9.292 -2.314 0.000
9.292 2.314 0.000
-0.821 0.000 9.706
Ba Ge Sb
6 2 2
direct
0.000 0.000 0.000 Ba
0.153 0.153 0.618 Ba
0.366 0.366 0.758 Ba
0.519 0.519 0.377 Ba
0.713 0.713 0.017 Ba
0.806 0.806 0.359 Ba
0.544 0.544 0.745 Ge
0.976 0.976 0.633 Ge
0.150 0.150 0.260 Sb
0.368 0.368 0.117 Sb
```

Properties
Energy relative to the elements, uncorrected: -0.692 eV/atom
Energy above the most stable polymorph in this dataset: 0.000 eV/atom
Calculated volume: 417.43 Å³ per cell
E_tot: -17.97 eV per formula unit

(4)
The following is a PBE calculation of a relaxed UTa2Ru crystal, from Alexandria.

Cell and atoms, written as POSCAR:
```
UTa2Ru
1.0
4.832 0.000 0.000
0.000 4.832 0.000
0.000 0.000 3.061
U Ta Ru
1 2 1
direct
0.000 0.000 0.000 U
0.000 0.500 0.500 Ta
0.500 0.000 0.500 Ta
0.500 0.500 0.000 Ru
```

Properties
Energy above the most stable polymorph in this dataset: 0.132 eV/atom
Calculated volume: 71.48 Å³ per cell
E_tot: -43.85 eV per formula unit
Formation enthalpy at 0 K: 0.104 eV/atom

(5)
The following is a PBE calculation of a relaxed Cs2VBr crystal, from Alexandria.

Cell and atoms, written as POSCAR:
```
Cs2VBr
1.0
9.235 0.000 0.000
0.000 9.235 0.000
0.000 0.000 9.235
Cs V Br
8 4 4
direct
0.250 0.250 0.250 Cs
0.250 0.250 0.750 Cs
0.250 0.750 0.250 Cs
0.250 0.750 0.750 Cs
0.750 0.250 0.250 Cs
0.750 0.250 0.750 Cs
0.750 0.750 0.250 Cs
0.750 0.750 0.750 Cs
0.000 0.000 0.000 V
0.000 0.500 0.500 V
0.500 0.000 0.500 V
0.500 0.500 0.000 V
0.000 0.000 0.500 Br
0.000 0.500 0.000 Br
0.500 0.000 0.000 Br
0.500 0.500 0.500 Br
```

Properties
Energy relative to the elements, uncorrected: 0.193 eV/atom
Calculated volume: 787.52 Å³ per cell
E_tot: -11.73 eV per formula unit

(6)
The following is a PBE calculation of a relaxed NdZr2Os crystal, from Alexandria.

Cell and atoms, written as POSCAR:
```
NdZr2Os
1.0
4.904 0.000 0.000
-2.452 4.247 0.000
0.000 0.000 12.045
Nd Zr Os
3 6 3
direct
0.000 0.000 0.000 Nd
0.333 0.667 0.667 Nd
0.667 0.333 0.333 Nd
0.000 0.000 0.250 Zr
0.000 0.000 0.750 Zr
0.333 0.667 0.417 Zr
0.333 0.667 0.916 Zr
0.667 0.333 0.084 Zr
0.667 0.333 0.583 Zr
0.000 0.000 0.500 Os
0.333 0.667 0.167 Os
0.667 0.333 0.833 Os
```

Properties
Energy above the most stable polymorph in this dataset: 0.193 eV/atom
Calculated volume: 250.89 Å³ per cell
E_tot: -32.82 eV per formula unit
Formation enthalpy at 0 K: 0.068 eV/atom

(7)
The following is a PBE calculation of a relaxed TaCdTc2 crystal, from Alexandria.

Cell and atoms, written as POSCAR:
```
TaCdTc2
1.0
4.454 0.000 0.000
0.000 4.454 0.000
0.000 0.000 3.316
Ta Cd Tc
1 1 2
direct
0.000 0.000 0.000 Ta
0.500 0.500 0.000 Cd
0.000 0.500 0.500 Tc
0.500 0.000 0.500 Tc
```

Properties
Calculated volume: 65.79 Å³ per cell
E_tot: -32.77 eV per formula unit
Formation enthalpy at 0 K: 0.182 eV/atom

(8)
The following is a PBE calculation of a relaxed CsHgPO2 crystal, from Alexandria.

Cell and atoms, written as POSCAR:
```
CsHgPO2
1.0
4.251 0.000 0.000
0.000 4.251 0.000
0.000 0.000 7.403
Cs Hg P O
1 1 1 2
direct
0.000 0.000 0.000 Cs
0.500 0.500 0.500 Hg
0.000 0.000 0.500 P
0.000 0.500 0.000 O
0.500 0.000 0.000 O
```

Properties
Energy relative to the elements, uncorrected: 0.849 eV/atom
Calculated volume: 133.78 Å³ per cell
E_tot: -12.23 eV per formula unit

(9)
The following is a PBE calculation of a relaxed RuPb2Cl crystal, from Alexandria.

Cell and atoms, written as POSCAR:
```
RuPb2Cl
1.0
3.452 0.000 0.000
0.000 3.452 0.000
0.000 0.000 7.832
Ru Pb Cl
1 2 1
direct
0.000 0.000 0.000 Ru
0.000 0.000 0.522 Pb
0.500 0.500 0.827 Pb
0.500 0.500 0.230 Cl
```

Properties
Energy relative to the elements, uncorrected: 0.322 eV/atom
Energy above the most stable polymorph in this dataset: 0.307 eV/atom
Calculated volume: 93.31 Å³ per cell
E_tot: -17.25 eV per formula unit

(10)
The following is a PBE calculation of a relaxed Ba2Na4Li crystal, from Alexandria.

Cell and atoms, written as POSCAR:
```
Ba2Na4Li
1.0
5.727 0.000 0.000
0.000 5.727 0.000
0.000 0.000 19.523
Ba Na Li
4 8 2
direct
0.000 0.000 0.146 Ba
0.000 0.000 0.854 Ba
0.500 0.500 0.354 Ba
0.500 0.500 0.646 Ba
0.000 0.000 0.346 Na
0.000 0.000 0.654 Na
0.000 0.500 0.000 Na
0.000 0.500 0.500 Na
0.500 0.000 0.000 Na
0.500 0.000 0.500 Na
0.500 0.500 0.154 Na
0.500 0.500 0.846 Na
0.000 0.000 0.500 Li
0.500 0.500 0.000 Li
```

Properties
Calculated volume: 640.38 Å³ per cell
E_tot: -10.14 eV per formula unit
Formation enthalpy at 0 K: 0.128 eV/atom

(11)
The following is a PBE calculation of a relaxed LiTlI2O crystal, from Alexandria.

Cell and atoms, written as POSCAR:
```
LiTlI2O
1.0
6.167 0.000 0.000
0.000 6.167 0.000
0.000 0.000 3.761
Li Tl I O
1 1 2 1
direct
0.000 0.000 0.000 Li
0.500 0.500 0.500 Tl
0.000 0.500 0.000 I
0.500 0.000 0.000 I
0.000 0.000 0.500 O
```

Properties
Energy relative to the elements, uncorrected: -0.392 eV/atom
Energy above the most stable polymorph in this dataset: 0.000 eV/atom
Calculated volume: 143.03 Å³ per cell
E_tot: -14.30 eV per formula unit

(12)
The following is a PBE calculation of a relaxed CdOs2Ru crystal, from Alexandria.

Cell and atoms, written as POSCAR:
```
CdOs2Ru
1.0
6.300 0.000 0.000
0.000 6.300 0.000
0.000 0.000 6.300
Cd Os Ru
4 8 4
direct
0.000 0.000 0.000 Cd
0.000 0.500 0.500 Cd
0.500 0.000 0.500 Cd
0.500 0.500 0.000 Cd
0.000 0.000 0.500 Os
0.000 0.500 0.000 Os
0.250 0.250 0.750 Os
0.250 0.750 0.250 Os
0.500 0.000 0.000 Os
0.500 0.500 0.500 Os
0.750 0.250 0.250 Os
0.750 0.750 0.750 Os
0.250 0.250 0.250 Ru
0.250 0.750 0.750 Ru
0.750 0.250 0.750 Ru
0.750 0.750 0.250 Ru
```

Properties
Calculated volume: 249.99 Å³ per cell
E_tot: -29.66 eV per formula unit
Formation enthalpy at 0 K: 0.748 eV/atom

Copy entry 7 word for word.
The following is a PBE calculation of a relaxed TaCdTc2 crystal, from Alexandria.

Cell and atoms, written as POSCAR:
```
TaCdTc2
1.0
4.454 0.000 0.000
0.000 4.454 0.000
0.000 0.000 3.316
Ta Cd Tc
1 1 2
direct
0.000 0.000 0.000 Ta
0.500 0.500 0.000 Cd
0.000 0.500 0.500 Tc
0.500 0.000 0.500 Tc
```

Properties
Calculated volume: 65.79 Å³ per cell
E_tot: -32.77 eV per formula unit
Formation enthalpy at 0 K: 0.182 eV/atom

> Look up the E_tot of the seventh one.

-32.77 eV per formula unit